Entry 1:
First-principles (GGA-PBE) data for Ce6ZnIr2 after structural relaxation, as listed in the Alexandria database.

The structure in POSCAR format:
```
Ce6ZnIr2
1.0
6.205 0.000 0.000
0.000 7.565 0.000
-5.887 0.000 9.517
Ce Zn Ir
12 2 4
Direct
0.041 0.190 0.415 Ce
0.041 0.310 0.915 Ce
0.316 0.634 0.462 Ce
0.316 0.866 0.962 Ce
0.370 0.046 0.212 Ce
0.370 0.454 0.712 Ce
0.630 0.546 0.288 Ce
0.630 0.954 0.788 Ce
0.684 0.134 0.038 Ce
0.684 0.366 0.538 Ce
0.959 0.690 0.085 Ce
0.959 0.810 0.585 Ce
0.500 0.000 0.500 Zn
0.500 0.500 0.000 Zn
0.137 0.129 0.716 Ir
0.137 0.371 0.216 Ir
0.863 0.629 0.784 Ir
0.863 0.871 0.284 Ir
```

Properties
crystal system = monoclinic
calculated total energy = -6.34 eV/atom
theoretical density = 9.6 g/cm³
SG = P2_1/c
density of states at the Fermi level = 48.35 states/eV/cell

---

Entry 2:
First-principles (GGA-PBE) data for Ba2SiAu after structural relaxation, as listed in the Alexandria database.

The structure in POSCAR format:
```
Ba2SiAu
1.0
5.599 -2.586 0.000
5.599 2.586 0.000
-0.001 0.000 4.643
Ba Si Au
2 1 1
Direct
0.000 0.000 0.000 Ba
0.704 0.704 0.500 Ba
0.308 0.308 0.998 Si
0.397 0.397 0.498 Au
```

Properties
formation energy from raw total energies = -0.50 eV/atom
crystal system = monoclinic
theoretical density = 6.2 g/cm³
SG = Cm
density of states at the Fermi level = 2.61 states/eV/cell

---

Entry 3:
First-principles (GGA-PBE) data for SbOs2Se after structural relaxation, as listed in the Alexandria database.

The structure in POSCAR format:
```
SbOs2Se
1.0
4.177 -1.537 0.000
4.177 1.537 0.000
-1.174 0.000 5.247
Sb Os Se
1 2 1
Direct
0.000 0.000 0.000 Sb
0.248 0.248 0.724 Os
0.752 0.752 0.276 Os
0.500 0.500 0.500 Se
```

Properties
formation energy from raw total energies = 0.61 eV/atom
crystal system = monoclinic
theoretical density = 14.3 g/cm³
SG = C2/m
density of states at the Fermi level = 1.98 states/eV/cell

---

Entry 4:
First-principles (GGA-PBE) data for BaBe2Br after structural relaxation, as listed in the Alexandria database.

The structure in POSCAR format:
```
BaBe2Br
1.0
2.096 1.210 7.763
-2.096 1.210 7.763
0.000 -2.420 7.763
Ba Be Br
1 2 1
Direct
0.000 0.000 0.000 Ba
0.434 0.434 0.434 Be
0.767 0.767 0.767 Be
0.244 0.244 0.244 Br
```

Properties
formation energy from raw total energies = 0.09 eV/atom
crystal system = trigonal
theoretical density = 3.3 g/cm³
SG = R3m
density of states at the Fermi level = 1.75 states/eV/cell

---

Entry 5:
First-principles (GGA-PBE) data for RbNb2InTe after structural relaxation, as listed in the Alexandria database.

The structure in POSCAR format:
```
RbNb2InTe
1.0
5.236 0.000 0.000
0.000 5.236 0.000
0.000 0.000 6.324
Rb Nb In Te
1 2 1 1
Direct
0.000 0.000 0.000 Rb
0.000 0.500 0.500 Nb
0.500 0.000 0.500 Nb
0.500 0.500 0.000 In
0.000 0.000 0.500 Te
```

Properties
formation energy from raw total energies = 1.16 eV/atom
crystal system = tetragonal
theoretical density = 4.9 g/cm³
SG = P4/mmm
density of states at the Fermi level = 5.76 states/eV/cell

---

Entry 6:
First-principles (GGA-PBE) data for Ce2Tc2Ge3 after structural relaxation, as listed in the Alexandria database.

The structure in POSCAR format:
```
Ce2Tc2Ge3
1.0
5.542 -2.130 0.000
5.542 2.130 0.000
-2.142 0.000 6.943
Ce Tc Ge
2 2 3
Direct
0.106 0.106 0.289 Ce
0.894 0.894 0.711 Ce
0.307 0.307 0.071 Tc
0.693 0.693 0.929 Tc
0.186 0.186 0.712 Ge
0.500 0.500 0.000 Ge
0.814 0.814 0.288 Ge
```

Properties
crystal system = monoclinic
calculated total energy = -6.93 eV/atom
theoretical density = 7.0 g/cm³
SG = C2/m
density of states at the Fermi level = 9.80 states/eV/cell

---

Entry 7:
First-principles (GGA-PBE) data for SmUTl2S4 after structural relaxation, as listed in the Alexandria database.

The structure in POSCAR format:
```
SmUTl2S4
1.0
7.064 0.000 0.000
0.000 4.085 0.000
-2.359 0.000 7.560
Sm U Tl S
1 1 2 4
Direct
0.000 0.000 0.000 Sm
0.500 0.500 0.000 U
0.000 0.500 0.500 Tl
0.500 0.000 0.500 Tl
0.239 0.500 0.200 S
0.274 0.000 0.803 S
0.726 0.000 0.197 S
0.761 0.500 0.800 S
```

Properties
formation energy from raw total energies = -1.23 eV/atom
crystal system = monoclinic
theoretical density = 7.0 g/cm³
SG = P2/m
density of states at the Fermi level = 5.79 states/eV/cell

---

Entry 8:
First-principles (GGA-PBE) data for LaIn2W after structural relaxation, as listed in the Alexandria database.

The structure in POSCAR format:
```
LaIn2W
1.0
1.874 -2.546 0.000
1.874 2.546 0.000
0.000 0.000 9.996
La In W
1 2 1
Direct
0.000 0.000 0.000 La
0.000 0.000 0.451 In
0.500 0.500 0.703 In
0.500 0.500 0.239 W
```

Properties
crystal system = orthorhombic
calculated total energy = -5.42 eV/atom
theoretical density = 9.6 g/cm³
SG = Cmm2
density of states at the Fermi level = 2.43 states/eV/cell

---

Entry 9:
First-principles (GGA-PBE) data for TaB4W2 after structural relaxation, as listed in the Alexandria database.

The structure in POSCAR format:
```
TaB4W2
1.0
-1.552 1.614 6.972
1.552 -1.614 6.972
1.552 1.614 -6.972
Ta B W
1 4 2
Direct
0.000 0.000 0.000 Ta
0.365 0.865 0.500 B
0.434 0.434 0.000 B
0.566 0.566 0.000 B
0.635 0.135 0.500 B
0.186 0.686 0.500 W
0.814 0.314 0.500 W
```

Properties
crystal system = orthorhombic
calculated total energy = -9.70 eV/atom
theoretical density = 14.1 g/cm³
SG = Immm
density of states at the Fermi level = 2.37 states/eV/cell

---

Entry 10:
First-principles (GGA-PBE) data for DyTiAu after structural relaxation, as listed in the Alexandria database.

The structure in POSCAR format:
```
DyTiAu
1.0
0.000 5.046 5.330
2.381 0.000 5.330
2.381 5.046 0.000
Dy Ti Au
2 2 2
Direct
0.140 0.860 0.140 Dy
0.860 0.140 0.860 Dy
0.250 0.250 0.250 Ti
0.750 0.750 0.750 Ti
0.340 0.340 0.660 Au
0.660 0.660 0.340 Au
```

Properties
crystal system = orthorhombic
calculated total energy = -5.24 eV/atom
theoretical density = 10.6 g/cm³
SG = Fmmm
density of states at the Fermi level = 4.35 states/eV/cell

---

Entry 11:
First-principles (GGA-PBE) data for NbPd6Pb after structural relaxation, as listed in the Alexandria database.

The structure in POSCAR format:
```
NbPd6Pb
1.0
4.025 0.000 0.000
0.000 4.025 0.000
0.000 0.000 8.178
Nb Pd Pb
1 6 1
Direct
0.000 0.000 0.000 Nb
0.000 0.500 0.233 Pd
0.000 0.500 0.767 Pd
0.500 0.000 0.233 Pd
0.500 0.000 0.767 Pd
0.500 0.500 0.000 Pd
0.500 0.500 0.500 Pd
0.000 0.000 0.500 Pb
```

Properties
crystal system = tetragonal
calculated total energy = -5.95 eV/atom
theoretical density = 11.8 g/cm³
SG = P4/mmm
density of states at the Fermi level = 4.39 states/eV/cell

---

Entry 12:
First-principles (GGA-PBE) data for Ba2TlHPb after structural relaxation, as listed in the Alexandria database.

The structure in POSCAR format:
```
Ba2TlHPb
1.0
5.759 0.000 0.000
0.000 5.759 0.000
0.000 0.000 4.801
Ba Tl H Pb
2 1 1 1
Direct
0.000 0.500 0.000 Ba
0.500 0.000 0.000 Ba
0.000 0.000 0.500 Tl
0.500 0.500 0.000 H
0.500 0.500 0.500 Pb
```

Properties
crystal system = tetragonal
calculated total energy = -3.00 eV/atom
theoretical density = 7.2 g/cm³
SG = P4/mmm
density of states at the Fermi level = 1.78 states/eV/cell